First-principles (PBE) data for a relaxed SrPuAg10 crystal, as listed in Alexandria.

Cell and atoms, written as extended XYZ:
```
12
Lattice="4.679 0.000 0.000 0.000 5.674 0.000 0.000 0.000 9.884" Properties=species:S:1:pos:R:3 pbc="T T T"
Sr 0.000 0.000 0.000
Pu 0.000 2.837 4.942
Ag 0.000 0.000 3.339
Ag 0.000 0.000 6.545
Ag 0.000 2.837 1.691
Ag 0.000 2.837 8.193
Ag 2.340 0.000 4.942
Ag 2.340 1.431 2.511
Ag 2.340 1.431 7.373
Ag 2.340 2.837 0.000
Ag 2.340 4.243 2.511
Ag 2.340 4.243 7.373
```

Output
Formation enthalpy at 0 K ... -52 meV/atom
Crystal system ... orthorhombic

---

First-principles (PBE) data for a relaxed InAg6Au3 crystal, as listed in Alexandria.

Cell and atoms, written as extended XYZ:
```
20
Lattice="9.902 0.000 0.000 0.000 4.793 0.000 -4.900 0.000 8.627" Properties=species:S:1:pos:R:3 pbc="T T T"
In -0.749 1.198 4.285
In 5.751 3.595 4.342
Ag -1.610 3.595 2.853
Ag -3.322 1.198 8.598
Ag -1.451 3.595 5.859
Ag 3.222 3.595 0.085
Ag 0.933 3.595 4.206
Ag 1.787 1.198 2.729
Ag 3.215 3.595 5.898
Ag 4.069 1.198 4.421
Ag 1.780 1.198 8.543
Ag 6.453 1.198 2.768
Ag 8.324 3.595 0.029
Ag 6.612 1.198 5.774
Au -0.786 1.198 1.412
Au -0.758 1.198 7.348
Au 1.630 1.198 5.790
Au 3.372 3.595 2.837
Au 5.760 3.595 1.279
Au 5.787 3.595 7.215
```

Output
Distance to the lowest polymorph of the same formula ... 8.2 kJ/mol of atoms
Formation enthalpy at 0 K ... 93 meV/atom
Crystal system ... monoclinic

---

First-principles (PBE) data for a relaxed Ba2AcMo2N6 crystal, as listed in Alexandria.

Cell and atoms, written as extended XYZ:
```
11
Lattice="5.554 -3.175 0.000 5.554 3.175 0.000 -3.903 0.000 6.332" Properties=species:S:1:pos:R:3 pbc="T T T"
Ba 1.642 0.000 1.083
Ba 5.563 0.000 5.248
Ac -1.952 0.000 3.166
Mo 2.093 0.000 5.004
Mo 5.112 0.000 1.328
N 4.074 1.502 1.280
N 0.655 0.000 3.826
N 3.131 1.502 5.052
N 4.074 -1.502 1.280
N 6.551 0.000 2.505
N 3.131 -1.502 5.052
```

Output
ΔE_f (raw) ... -0.657 eV per atom
Crystal system ... monoclinic

---

First-principles (PBE) data for a relaxed Ca3MgHg crystal, as listed in Alexandria.

Cell and atoms, written as extended XYZ:
```
10
Lattice="2.726 -10.555 0.000 2.726 10.555 0.000 0.000 0.000 5.441" Properties=species:S:1:pos:R:3 pbc="T T T"
Ca 2.726 9.146 4.081
Ca 2.726 5.281 4.081
Ca 2.726 1.443 4.081
Ca 2.726 -1.443 1.360
Ca 2.726 -5.281 1.360
Ca 2.726 -9.146 1.360
Mg 2.726 7.256 1.360
Mg 2.726 -7.256 4.081
Hg 2.726 3.314 1.360
Hg 2.726 -3.314 4.081
```

Output
Distance to the lowest polymorph of the same formula ... 0.0 kJ/mol of atoms
Formation enthalpy at 0 K ... -244 meV/atom
Crystal system ... orthorhombic

---

First-principles (PBE) data for a relaxed GdEr3Co crystal, as listed in Alexandria.

Cell and atoms, written as extended XYZ:
```
5
Lattice="5.227 0.000 0.000 0.000 5.227 0.000 0.000 0.000 5.227" Properties=species:S:1:pos:R:3 pbc="T T T"
Gd 0.000 0.000 0.000
Er 0.000 2.613 2.613
Er 2.613 0.000 2.613
Er 2.613 2.613 0.000
Co 2.613 2.613 2.613
```

Output
Formation enthalpy at 0 K ... -50 meV/atom
Crystal system ... cubic

---

First-principles (PBE) data for a relaxed MnC5 crystal, as listed in Alexandria.

Cell and atoms, written as extended XYZ:
```
6
Lattice="3.275 0.000 0.000 -1.638 2.836 0.000 0.000 0.000 7.273" Properties=species:S:1:pos:R:3 pbc="T T T"
Mn 0.000 0.000 0.000
C -0.819 1.418 3.637
C 0.000 1.891 0.000
C 1.638 0.000 3.637
C 0.819 1.418 3.637
C 1.638 0.945 0.000
```

Output
Distance to the lowest polymorph of the same formula ... 154.3 kJ/mol of atoms
Formation enthalpy at 0 K ... 2490 meV/atom
Crystal system ... hexagonal

---

First-principles (PBE) data for a relaxed NaFeP2Ir crystal, as listed in Alexandria.

Cell and atoms, written as extended XYZ:
```
5
Lattice="-1.959 1.959 4.980 1.959 -1.959 4.980 1.959 1.959 -4.980" Properties=species:S:1:pos:R:3 pbc="T T T"
Na 0.000 0.000 0.000
Fe 0.000 1.959 2.490
P 0.000 0.000 3.684
P 0.000 0.000 6.275
Ir 1.959 0.000 2.490
```

Output
Formation enthalpy at 0 K ... -521 meV/atom
Crystal system ... tetragonal

---

First-principles (PBE) data for a relaxed HgTe2Pb crystal, as listed in Alexandria.

Cell and atoms, written as extended XYZ:
```
4
Lattice="3.442 0.000 0.000 0.000 3.442 0.000 0.000 0.000 10.389" Properties=species:S:1:pos:R:3 pbc="T T T"
Hg 0.000 0.000 0.000
Te 0.000 0.000 4.628
Te 1.721 1.721 8.044
Pb 1.721 1.721 2.343
```

Output
ΔE_f (raw) ... 0.116 eV per atom
Crystal system ... tetragonal

---

Table of calculated density (kg/m³), in record order: 8925, 10974, 5782, 3661, 8350, 2826, 7230, 8942